{"formula": "CsAlOs", "functional": "PBE", "state": "relaxed", "lattice": [[0.0000, 3.7485, 3.7485], [3.7485, 0.0000, 3.7485], [3.7485, 3.7485, 0.0000]], "species": ["Cs", "Al", "Os"], "frac_coords": [[0.0000, 0.0000, 0.0000], [0.7500, 0.7500, 0.7500], [0.2500, 0.2500, 0.2500]], "sg": "F-43m", "final_energy_ev_per_atom": -2.7096, "polymorph_energy_ev_per_atom": 1.1492}